# 1
This record from the Alexandria database describes an optimized crystal structure of ZrTc2P. The functional is GGA-PBE.

Unit cell a=3.6379 b=3.7549 c=4.6464 alpha=90.00 beta=90.00 gamma=90.00
Fractional positions:
Zr 0.0000 0.0000 0.0000
Tc 0.0000 0.5000 0.5000
Tc 0.5000 0.0000 0.5000
P 0.5000 0.5000 0.0000

- Final energy: -35.51 eV for the cell shown
- Space group: No. 47
- E_form: -0.82 eV/f.u.
- DOS at the Fermi energy: 2.915 states/eV per cell

# 2
This record from the Alexandria database describes an optimized crystal structure of Ba2CaTc. The functional is GGA-PBE.

Unit cell a=8.3694 b=8.3694 c=8.3694 alpha=96.93 beta=96.93 gamma=139.34
Fractional positions:
Ba 0.3750 0.0419 0.1669
Ba 0.7919 0.6250 0.6669
Ba 0.8750 0.2081 0.8331
Ba 0.9581 0.1250 0.3331
Ca 0.2500 0.7500 0.5000
Ca 0.5000 0.5000 0.0000
Tc 0.0000 0.0000 0.0000
Tc 0.7500 0.2500 0.5000

- Final energy: -26.61 eV for the cell shown
- Space group: No. 122
- Relative energy among the computed polymorphs: 0.127 eV/atom
- E_form: 2.91 eV/f.u.
- DOS at the Fermi energy: 11.774 states/eV per cell